Material: HoMnSi2
Method: DFT, PBE
State: relaxed

Computed properties:
Formation energy (no corrections) in eV per formula unit: -2.17
Space-group type: R-3m (166)

Unit cell a=5.3989 b=5.3989 c=5.3989 alpha=42.92 beta=42.92 gamma=42.92
Closest atoms and distances in Å follow each position.
Fractional coordinates of all 4 atoms:
Ho  0.0000  0.0000  0.0000  8 Si 2.93-3.05
Mn  0.5000  0.5000  0.5000  6 Si 2.36
Si  0.2078  0.2078  0.2078  3 Mn 2.36, 3 Si 2.58
Si  0.7922  0.7922  0.7922  3 Mn 2.36, 3 Si 2.58



Material: Pm2HoPuN4
Method: DFT, PBE
State: relaxed

Computed properties:
Formation energy (no corrections) in eV per formula unit: -11.70
Space-group type: P2/m (10)

Unit cell a=6.0888 b=3.5365 c=6.1142 alpha=90.00 beta=109.25 gamma=90.00
Closest atoms and distances in Å follow each position.
Fractional coordinates of all 8 atoms:
Pm  0.0000  0.0000  0.0000  6 N 2.57-2.58
Pm  0.5000  0.5000  0.0000  6 N 2.53-2.54
Ho  0.0000  0.5000  0.5000  6 N 2.45-2.46
Pu  0.5000  0.0000  0.5000  6 N 2.40-2.42
N  0.2506  0.0000  0.7337  1 Pu 2.40, 2 Ho 2.46, 3 Pm 2.54-2.57
N  0.2611  0.5000  0.2698  2 Pu 2.42, 1 Ho 2.45, 3 Pm 2.53-2.58
N  0.7389  0.5000  0.7302  2 Pu 2.42, 1 Ho 2.45, 3 Pm 2.53-2.58
N  0.7494  0.0000  0.2663  1 Pu 2.40, 2 Ho 2.46, 3 Pm 2.54-2.57



Material: AcAl6Rh
Method: DFT, PBE
State: relaxed

Computed properties:
Space-group type: P4/mmm (123)
Formation energy from the elements in eV/f.u.: -4.1

Unit cell a=4.3366 b=4.3366 c=8.5251 alpha=90.00 beta=90.00 gamma=90.00
Closest atoms and distances in Å follow each position.
Fractional coordinates of all 8 atoms:
Ac  0.0000  0.0000  0.0000  16 Al 3.33-3.61
Al  0.0000  0.5000  0.3385  2 Rh 2.57, 3 Al 2.69-2.75
Al  0.0000  0.5000  0.6615  2 Rh 2.57, 3 Al 2.69-2.75
Al  0.5000  0.0000  0.3385  2 Rh 2.57, 3 Al 2.69-2.75
Al  0.5000  0.0000  0.6615  2 Rh 2.57, 3 Al 2.69-2.75
Al  0.5000  0.5000  0.1510  5 Al 2.57-2.69
Al  0.5000  0.5000  0.8490  5 Al 2.57-2.69
Rh  0.0000  0.0000  0.5000  8 Al 2.57



Material: DyMg12Rh6
Method: DFT, PBE
State: relaxed

Computed properties:
Space-group type: R-3m (166)
Formation energy from the elements in eV/f.u.: -4.4

Unit cell a=7.4681 b=7.4681 c=7.4681 alpha=103.84 beta=103.84 gamma=103.84
Closest atoms and distances in Å follow each position.
Fractional coordinates of all 19 atoms:
Dy  0.0000  0.0000  0.0000  18 Mg 3.72-3.99, 6 Rh 3.77
Mg  0.1189  0.5000  0.8811  4 Rh 2.55-2.62, 1 Mg 2.80
Mg  0.1189  0.8811  0.5000  4 Rh 2.55-2.62, 1 Mg 2.80
Mg  0.1702  0.4371  0.4371  3 Rh 2.66-2.72
Mg  0.4371  0.1702  0.4371  3 Rh 2.66-2.72
Mg  0.4371  0.4371  0.1702  3 Rh 2.66-2.72
Mg  0.5000  0.1189  0.8811  4 Rh 2.55-2.62, 1 Mg 2.80
Mg  0.5000  0.8811  0.1189  4 Rh 2.55-2.62, 1 Mg 2.80
Mg  0.5629  0.5629  0.8298  3 Rh 2.66-2.72
Mg  0.5629  0.8298  0.5629  3 Rh 2.66-2.72
Mg  0.8298  0.5629  0.5629  3 Rh 2.66-2.72
Mg  0.8811  0.1189  0.5000  4 Rh 2.55-2.62, 1 Mg 2.80
Mg  0.8811  0.5000  0.1189  4 Rh 2.55-2.62, 1 Mg 2.80
Rh  0.2501  0.2501  0.7028  7 Mg 2.55-2.72
Rh  0.2501  0.7028  0.2501  7 Mg 2.55-2.72
Rh  0.2972  0.7499  0.7499  7 Mg 2.55-2.72
Rh  0.7028  0.2501  0.2501  7 Mg 2.55-2.72
Rh  0.7499  0.2972  0.7499  7 Mg 2.55-2.72
Rh  0.7499  0.7499  0.2972  7 Mg 2.55-2.72



Material: Fe2Cu2Ag
Method: DFT, PBE
State: relaxed

Computed properties:
Space-group type: I4/mmm (139)
Formation energy from the elements in eV/f.u.: 2.1
ΔE to the lowest computed polymorph in eV per formula unit: 0.45

Unit cell a=6.4151 b=6.4151 c=6.4151 alpha=148.66 beta=148.66 gamma=44.91
Closest atoms and distances in Å follow each position.
Fractional coordinates of all 5 atoms:
Fe  0.2500  0.7500  0.5000  4 Fe 2.45, 4 Cu 2.48
Fe  0.7500  0.2500  0.5000  4 Fe 2.45, 4 Cu 2.48
Cu  0.1005  0.1005  0.0000  1 Cu 2.38, 4 Fe 2.48
Cu  0.8995  0.8995  0.0000  1 Cu 2.38, 4 Fe 2.48
Ag  0.5000  0.5000  0.0000  8 Cu 2.72



Material: SrPm2YSe4
Method: DFT, PBE
State: relaxed

Computed properties:
Formation energy (no corrections) in eV per formula unit: -14.74
Space-group type: P2/m (10)

Unit cell a=7.3058 b=4.1916 c=7.3334 alpha=90.00 beta=109.03 gamma=90.00
Closest atoms and distances in Å follow each position.
Fractional coordinates of all 8 atoms:
Sr  0.0000  0.0000  0.0000  6 Se 3.00-3.02
Pm  0.0000  0.5000  0.5000  6 Se 3.02-3.03
Pm  0.5000  0.0000  0.5000  6 Se 2.95-2.96
Y  0.5000  0.5000  0.0000  6 Se 2.94
Se  0.2588  0.0000  0.7547  2 Y 2.94, 3 Pm 2.96-3.03, 1 Sr 3.00
Se  0.2590  0.5000  0.2519  1 Y 2.94, 3 Pm 2.95-3.02, 2 Sr 3.02
Se  0.7412  0.0000  0.2453  2 Y 2.94, 3 Pm 2.96-3.03, 1 Sr 3.00
Se  0.7410  0.5000  0.7481  1 Y 2.94, 3 Pm 2.95-3.02, 2 Sr 3.02